This record from Alexandria via LeMat-Bulk describes a relaxed K3PmV2O8 crystal. The functional is GGA+U.

Lattice parameters (Å, degrees): 6.096 6.096 7.750 90.00 90.00 120.00
Element x y z (fractional)
K  0.333  0.667  0.690
O  0.823  0.177  0.682
O  0.823  0.647  0.682
O  0.177  0.353  0.318
O  0.177  0.823  0.318
O  0.667  0.333  0.978
V  0.667  0.333  0.762
V  0.333  0.667  0.238
O  0.353  0.177  0.682
O  0.647  0.823  0.318
K  0.667  0.333  0.310
O  0.333  0.667  0.022
Pm  0.000  0.000  0.500
K  0.000  0.000  0.000

SG: No. 164
Uncorrected energy, eV/cell: -94.81